# 1
4
Lattice="-3.268 -2.349 -1.758 0.492 -1.987 1.741 -3.078 1.703 3.446" Properties=species:S:1:pos:R:3 comment="CuOs2W (PBE, optimized geometry)" formation_energy_mev_per_atom=336.6 de_polymorph_mev_per_atom=126 e_tot_ev_per_atom=-9.54 density_g_cm3=18.00 pbc="T T T"
Cu -3.574 -1.388 3.011
Os -2.536 -0.278 5.086
Os -1.343 -0.148 2.695
W -2.281 -1.245 0.418



# 2
4
Lattice="2.790 0.000 0.000 0.000 4.608 0.000 0.000 0.000 4.525" Properties=species:S:1:pos:R:3 comment="CuOs2W (PBE, optimized geometry)" formation_energy_mev_per_atom=510.0 de_polymorph_mev_per_atom=300 e_tot_ev_per_atom=-9.37 density_g_cm3=17.92 pbc="T T T"
Cu 0.000 2.304 2.263
Os 0.000 0.000 0.000
Os 1.395 2.304 0.000
W 1.395 0.000 2.263



# 3
4
Lattice="-2.421 2.753 -2.826 -2.407 -3.932 0.423 -1.363 1.073 2.212" Properties=species:S:1:pos:R:3 comment="CuOs2W (PBE, optimized geometry)" formation_energy_mev_per_atom=338.0 de_polymorph_mev_per_atom=128 e_tot_ev_per_atom=-9.54 density_g_cm3=18.08 pbc="T T T"
Cu -1.885 -1.430 1.318
Os 0.000 0.000 0.000
Os -2.414 -0.589 -1.202
W -1.892 1.913 -0.307



# 4
4
Lattice="-0.789 0.525 -2.625 1.160 -2.399 -0.829 -6.366 -3.498 1.214" Properties=species:S:1:pos:R:3 comment="CuOs2W (PBE, optimized geometry)" formation_energy_mev_per_atom=301.3 de_polymorph_mev_per_atom=91 e_tot_ev_per_atom=-9.58 density_g_cm3=18.18 pbc="T T T"
Cu -4.589 -3.560 -0.816
Os -6.304 -3.464 1.202
Os -3.245 -1.783 0.619
W -1.406 -1.811 -1.423



# 5
5
Lattice="-2.414 -3.780 -0.649 1.203 -1.475 4.113 -3.642 2.018 1.789" Properties=species:S:1:pos:R:3 comment="Cu3OsW (PBE, optimized geometry)" formation_energy_mev_per_atom=2059.0 de_polymorph_mev_per_atom=0 e_tot_ev_per_atom=-5.24 density_g_cm3=10.07 pbc="T T T"
Os 0.000 0.000 0.000
Cu 0.602 -0.737 2.056
Cu -1.821 1.009 0.895
Cu -1.207 -1.890 -0.325
W -2.426 -1.618 2.626



# 6
4
Lattice="-0.166 -1.940 1.935 2.685 -0.503 -0.275 1.526 5.214 5.359" Properties=species:S:1:pos:R:3 comment="CuOs2W (PBE, optimized geometry)" formation_energy_mev_per_atom=232.1 de_polymorph_mev_per_atom=22 e_tot_ev_per_atom=-9.65 density_g_cm3=18.13 pbc="T T T"
Cu 2.411 2.715 4.877
Os 0.002 0.006 0.006
Os 1.613 -0.013 2.073
W 0.781 2.669 2.744



# 7
4
Lattice="4.645 0.000 0.000 1.328 4.451 0.000 -2.987 -2.226 2.776" Properties=species:S:1:pos:R:3 comment="CuOs2W (PBE, optimized geometry)" formation_energy_mev_per_atom=210.2 de_polymorph_mev_per_atom=0 e_tot_ev_per_atom=-9.67 density_g_cm3=18.16 pbc="T T T"
Cu 0.664 2.226 1.388
Os 0.000 0.000 0.000
Os 2.987 2.226 0.000
W 2.323 0.000 1.388



# 8
4
Lattice="9.015 0.010 0.006 8.593 2.725 0.006 8.593 1.334 2.376" Properties=species:S:1:pos:R:3 comment="CuOs2W (PBE, optimized geometry)" formation_energy_mev_per_atom=210.8 de_polymorph_mev_per_atom=1 e_tot_ev_per_atom=-9.67 density_g_cm3=17.97 pbc="T T T"
Cu 19.651 3.052 1.790
Os 0.018 0.003 0.002
Os 13.083 2.032 1.192
W 6.550 1.017 0.597



# 9
4
Lattice="-0.084 7.233 -5.463 -2.291 7.830 -3.951 0.207 8.528 -3.065" Properties=species:S:1:pos:R:3 comment="CuOs2W (PBE, optimized geometry)" formation_energy_mev_per_atom=285.3 de_polymorph_mev_per_atom=75 e_tot_ev_per_atom=-9.59 density_g_cm3=17.95 pbc="T T T"
Cu -1.623 17.660 -9.341
Os -2.168 23.591 -12.479
Os -0.546 5.941 -3.143
W -1.083 11.786 -6.234



# 10
4
Lattice="-3.240 -3.134 -1.598 -0.901 -3.679 -2.921 0.839 -3.535 2.939" Properties=species:S:1:pos:R:3 comment="CuOs2W (PBE, optimized geometry)" formation_energy_mev_per_atom=270.9 de_polymorph_mev_per_atom=61 e_tot_ev_per_atom=-9.61 density_g_cm3=18.02 pbc="T T T"
Cu -0.830 -2.597 -0.398
Os 0.796 -3.558 2.872
Os -2.447 -7.758 -1.135
W -1.632 -5.143 -0.770



# 11
4
Lattice="4.346 0.000 0.000 2.173 3.763 0.000 2.173 1.254 3.548" Properties=species:S:1:pos:R:3 comment="CuOs2W (PBE, optimized geometry)" formation_energy_mev_per_atom=508.9 de_polymorph_mev_per_atom=299 e_tot_ev_per_atom=-9.37 density_g_cm3=17.97 pbc="T T T"
Cu 4.346 2.509 1.774
Os 0.000 0.000 0.000
Os 2.173 1.254 0.887
W 6.518 3.763 2.661



# 12
8
Lattice="-2.180 2.403 -6.259 0.091 -6.571 -2.554 -3.545 -2.408 -3.661" Properties=species:S:1:pos:R:3 comment="CuOs2W (PBE, optimized geometry)" formation_energy_mev_per_atom=935.7 de_polymorph_mev_per_atom=725 e_tot_ev_per_atom=-8.94 density_g_cm3=15.95 pbc="T T T"
Os -2.289 0.136 -5.295
Os -1.051 -4.465 -3.146
Os -3.445 -3.213 -5.990
Os -4.485 -5.609 -10.518
Cu -1.045 -2.084 -4.407
Cu -2.250 -5.531 -5.311
W 0.000 0.000 0.000
W -3.385 -1.044 -7.164



# 13
5
Lattice="5.389 0.000 0.000 0.000 4.703 0.000 0.000 0.000 5.389" Properties=species:S:1:pos:R:3 comment="Y2CuOsW (PBE, optimized geometry)" formation_energy_mev_per_atom=795.3 e_tot_ev_per_atom=-7.45 density_g_cm3=7.48 pbc="T T T"
Y 0.000 0.000 2.694
Y 2.694 0.000 0.000
Os 0.000 0.000 0.000
Cu 2.694 2.351 2.694
W 0.000 2.351 0.000



# 14
5
Lattice="4.700 0.000 0.000 0.000 4.700 0.000 0.000 0.000 4.700" Properties=species:S:1:pos:R:3 comment="YCu3Os (PBE, optimized geometry)" formation_energy_mev_per_atom=2077.2 de_polymorph_mev_per_atom=1469 e_tot_ev_per_atom=-3.92 density_g_cm3=7.51 pbc="T T T"
Y 0.000 0.000 0.000
Os 2.350 2.350 2.350
Cu 0.000 2.350 0.000
Cu 0.000 0.000 2.350
Cu 2.350 0.000 0.000



# 15
7
Lattice="-3.706 0.299 3.180 -0.375 -3.256 3.632 3.020 3.712 6.934" Properties=species:S:1:pos:R:3 comment="Y4Cu2Os (PBE, optimized geometry)" formation_energy_mev_per_atom=-154.1 e_tot_ev_per_atom=-6.62 density_g_cm3=6.79 pbc="T T T"
Y -2.473 -1.234 8.523
Y 1.413 1.988 5.223
Y -2.188 -1.400 5.108
Y 1.127 2.155 8.638
Os 0.000 0.000 0.000
Cu -0.779 0.583 10.327
Cu -0.281 0.171 3.419



# 16
11
Lattice="5.727 0.108 -0.929 -1.824 6.877 -2.749 -0.012 0.032 7.627" Properties=species:S:1:pos:R:3 comment="Y8CuOs2 (PBE, optimized geometry)" formation_energy_mev_per_atom=-99.2 e_tot_ev_per_atom=-7.21 density_g_cm3=6.34 pbc="T T T"
Y 2.719 2.415 -0.907
Y 3.201 0.592 1.856
Y 0.384 2.602 1.649
Y 5.238 1.697 4.360
Y 4.248 5.437 -1.311
Y 3.379 4.445 2.342
Y 0.501 6.481 2.166
Y 0.983 4.662 4.924
Os 1.523 4.830 0.059
Os 2.205 2.255 3.964
Cu -1.098 6.920 4.757



# 17
12
Lattice="-4.107 2.600 0.663 -4.999 -1.842 -5.598 -2.580 -5.092 3.980" Properties=species:S:1:pos:R:3 comment="Y3Cu2Os (PBE, optimized geometry)" formation_energy_mev_per_atom=-230.7 e_tot_ev_per_atom=-6.70 density_g_cm3=7.75 pbc="T T T"
Y -7.067 -2.331 1.679
Y -2.674 0.070 1.291
Y -4.620 -2.003 -2.634
Y -5.723 0.311 -0.389
Y -5.964 -4.645 -0.566
Y -4.013 -2.562 3.352
Cu 0.000 0.000 0.000
Cu -1.290 -2.546 1.990
Cu -4.322 -2.290 0.351
Cu -7.364 -2.044 -1.306
Os -3.027 0.262 -1.628
Os -6.080 0.496 -3.308



# 18
18
Lattice="-1.475 2.154 -7.900 5.675 -6.082 0.177 -7.106 -2.599 3.460" Properties=species:S:1:pos:R:3 comment="Y6Cu2Os (PBE, optimized geometry)" formation_energy_mev_per_atom=-171.7 e_tot_ev_per_atom=-6.64 density_g_cm3=6.37 pbc="T T T"
Y -0.422 -1.077 -2.738
Y -2.484 -5.449 -1.525
Y 1.639 -3.005 -6.528
Y -4.545 -3.522 2.265
Y -2.630 -6.494 1.873
Y -0.277 -0.033 -6.136
Y -0.960 -4.177 -4.400
Y -1.946 -2.350 0.137
Y 0.263 -6.954 0.189
Y -3.169 0.427 -4.453
Y -3.654 -2.516 -3.220
Y 0.748 -4.011 -1.043
Cu -4.832 -3.505 -0.845
Cu 1.925 -3.022 -3.418
Cu -3.006 -0.156 -1.555
Cu -5.575 -0.289 -2.884
Os -0.716 -4.340 1.818
Os 0.000 0.000 0.000



# 19
10
Lattice="6.742 0.000 0.000 0.000 6.742 0.000 0.000 0.000 4.428" Properties=species:S:1:pos:R:3 comment="Y2CuOs2 (PBE, optimized geometry)" formation_energy_mev_per_atom=-37.4 e_tot_ev_per_atom=-7.93 density_g_cm3=10.26 pbc="T T T"
Y 1.194 4.565 2.214
Y 4.565 5.548 2.214
Y 5.548 2.177 2.214
Y 2.177 1.194 2.214
Os 2.520 5.891 0.000
Os 5.891 4.223 0.000
Os 4.223 0.851 0.000
Os 0.851 2.520 0.000
Cu 0.000 0.000 0.000
Cu 3.371 3.371 0.000



# 20
5
Lattice="5.354 0.000 0.000 0.000 5.354 0.000 0.000 0.000 5.354" Properties=species:S:1:pos:R:3 comment="Y3CuOs (PBE, optimized geometry)" formation_energy_mev_per_atom=223.9 de_polymorph_mev_per_atom=0 e_tot_ev_per_atom=-6.72 density_g_cm3=5.63 pbc="T T T"
Y 0.000 2.677 0.000
Y 0.000 0.000 2.677
Y 2.677 0.000 0.000
Os 0.000 0.000 0.000
Cu 2.677 2.677 2.677



# 21
5
Lattice="4.635 0.000 0.000 0.000 4.635 0.000 0.000 0.000 4.635" Properties=species:S:1:pos:R:3 comment="YCu3Os (PBE, optimized geometry)" formation_energy_mev_per_atom=607.9 de_polymorph_mev_per_atom=0 e_tot_ev_per_atom=-5.39 density_g_cm3=7.83 pbc="T T T"
Y 2.317 2.317 2.317
Os 0.000 0.000 0.000
Cu 0.000 2.317 0.000
Cu 0.000 0.000 2.317
Cu 2.317 0.000 0.000



# 22
10
Lattice="-3.603 1.436 5.735 2.795 -5.504 3.134 2.994 2.269 1.313" Properties=species:S:1:pos:R:3 comment="Y2Cu2Os (PBE, optimized geometry)" formation_energy_mev_per_atom=-33.0 e_tot_ev_per_atom=-6.50 density_g_cm3=8.62 pbc="T T T"
Y 2.742 -2.386 3.899
Y 1.282 -2.340 7.149
Y -0.556 0.587 6.283
Y 0.905 0.541 3.033
Os 0.000 0.000 0.000
Os -0.404 -2.034 4.434
Cu 1.092 -4.290 4.921
Cu -1.425 -2.162 6.985
Cu -1.900 0.222 3.948
Cu 0.618 -1.906 1.884



# 23
5
Lattice="-3.320 1.564 -3.796 -2.135 -3.956 0.237 -3.254 1.975 3.659" Properties=species:S:1:pos:R:3 comment="Y2ZnCuOs (PBE, optimized geometry)" formation_energy_mev_per_atom=735.5 e_tot_ev_per_atom=-5.17 density_g_cm3=6.58 pbc="T T T"
Y -1.627 0.988 1.830
Y -1.660 0.782 -1.898
Zn 0.000 0.000 0.000
Os -1.067 -1.978 0.119
Cu -4.354 -0.208 0.050



# 24
8
Lattice="4.946 0.000 0.000 2.473 4.284 0.000 2.473 1.428 8.047" Properties=species:S:1:pos:R:3 comment="Y4ZnCu2Os (PBE, optimized geometry)" formation_energy_mev_per_atom=-279.5 e_tot_ev_per_atom=-6.10 density_g_cm3=7.19 pbc="T T T"
Y 4.946 2.856 6.920
Y 7.419 4.284 3.127
Y 2.473 1.428 4.920
Y 4.946 2.856 1.127
Zn 0.000 0.000 0.000
Cu 7.419 4.284 6.125
Cu 2.473 1.428 1.922
Os 4.946 2.856 4.024



# 25
6
Lattice="0.000 3.462 3.462 3.462 0.000 3.462 3.462 3.462 0.000" Properties=species:S:1:pos:R:3 comment="Zn4CuOs (PBE, optimized geometry)" formation_energy_mev_per_atom=286.5 e_tot_ev_per_atom=-3.12 density_g_cm3=10.31 pbc="T T T"
Zn 2.595 4.330 4.330
Zn 4.330 4.330 2.595
Zn 4.330 2.595 4.330
Zn 2.595 2.595 2.595
Cu 5.194 5.194 5.194
Os 0.000 0.000 0.000



# 26
4
Lattice="2.604 -0.019 0.000 -1.107 2.357 0.000 0.000 0.000 8.733" Properties=species:S:1:pos:R:3 comment="ZnCu2Os (PBE, optimized geometry)" formation_energy_mev_per_atom=211.5 e_tot_ev_per_atom=-4.96 density_g_cm3=11.89 pbc="T T T"
Cu 0.000 0.000 8.678
Cu 0.000 0.000 4.421
Os 0.749 1.169 2.183
Zn 0.749 1.169 6.550



# 27
4
Lattice="-3.685 -2.747 -0.244 -1.736 -4.049 -1.333 0.555 -2.468 3.946" Properties=species:S:1:pos:R:3 comment="ZnCu2Os (PBE, optimized geometry)" formation_energy_mev_per_atom=194.5 e_tot_ev_per_atom=-4.98 density_g_cm3=12.08 pbc="T T T"
Cu 0.548 -2.460 3.923
Cu -3.634 -6.947 1.803
Os -2.425 -4.620 1.184
Zn -1.232 -2.337 0.590